(1)
DFT (GGA-PBEsol) results for an optimized crystal structure of Zr3Cu4Si2.

Properties
As for the symmetry: P-62m. As for the calculated total energy: -6.8107 eV per atom. The value obtained for the uncorrected formation energy is -0.577 eV/atom.

Lattice parameters (Å, degrees): 6.282 6.282 3.956 90.00 90.00 120.00
Fractional positions:
Zr 0.000 0.589 0.000
Zr 0.411 0.411 0.000
Zr 0.589 0.000 0.000
Cu 0.000 0.000 0.000
Cu 0.000 0.246 0.500
Cu 0.246 0.000 0.500
Cu 0.754 0.754 0.500
Si 0.333 0.667 0.500
Si 0.667 0.333 0.500

=====

(2)
DFT (GGA-PBEsol) results for an optimized crystal structure of KAlHg2.

Properties
As for the symmetry: F-43m. For the formation energy, the calculation gives 122 meV/atom. As for the calculated total energy: -1.4677 eV per atom.

Lattice parameters (Å, degrees): 5.156 5.156 5.156 60.00 60.00 60.00
Fractional positions:
K 0.000 0.000 0.000
Al 0.250 0.250 0.250
Hg 0.500 0.500 0.500
Hg 0.750 0.750 0.750

=====

(3)
DFT (GGA-PBEsol) results for an optimized crystal structure of BaLaP2.

Properties
As for the symmetry: F-43m. For the formation energy, the calculation gives -233 meV/atom. As for the calculated total energy: -5.0020 eV per atom.

Lattice parameters (Å, degrees): 5.124 5.124 5.124 60.00 60.00 60.00
Fractional positions:
Ba 0.000 0.000 0.000
La 0.750 0.750 0.750
P 0.250 0.250 0.250
P 0.500 0.500 0.500